Entry 1:
{
  "formula": "ZrNi12B5",
  "functional": "GGA-PBE",
  "state": "relaxed",
  "lattice_angstrom": [[-3.405, 3.425, 3.851], [3.405, -3.425, 3.851], [3.405, 3.425, -3.851]],
  "species": ["Zr", "Ni", "Ni", "Ni", "Ni", "Ni", "Ni", "Ni", "Ni", "Ni", "Ni", "Ni", "Ni", "B", "B", "B", "B", "B"],
  "fractional_positions": [[0.000, 0.000, 0.000], [0.137, 0.819, 0.318], [0.220, 0.319, 0.539], [0.220, 0.681, 0.900], [0.285, 0.102, 0.816], [0.285, 0.469, 0.184], [0.500, 0.181, 0.318], [0.500, 0.819, 0.682], [0.715, 0.531, 0.816], [0.715, 0.898, 0.184], [0.780, 0.319, 0.100], [0.780, 0.681, 0.461], [0.863, 0.181, 0.682], [0.113, 0.613, 0.500], [0.500, 0.139, 0.639], [0.500, 0.500, 0.000], [0.500, 0.861, 0.361], [0.887, 0.387, 0.500]],
  "final_energy_ev_per_atom": -6.385,
  "magmom_total_mub_per_fu": 0.00,
  "sg": "No. 71",
  "formation_enthalpy_0k_kj_per_mol_fu": -348.4
}



Entry 2:
{
  "formula": "Ac2SmAu2",
  "functional": "GGA-PBE",
  "state": "relaxed",
  "lattice_angstrom": [[-4.205, 6.001, 3.376], [4.205, -6.001, 3.376], [4.205, 6.001, -3.376]],
  "species": ["Ac", "Ac", "Ac", "Ac", "Sm", "Sm", "Au", "Au", "Au", "Au"],
  "fractional_positions": [[0.154, 0.142, 0.296], [0.346, 0.642, 0.987], [0.654, 0.358, 0.013], [0.846, 0.858, 0.704], [0.250, 0.750, 0.500], [0.750, 0.250, 0.500], [0.103, 0.769, 0.872], [0.397, 0.269, 0.666], [0.603, 0.731, 0.334], [0.897, 0.231, 0.128]],
  "final_energy_ev_per_atom": -4.442,
  "magmom_total_mub_per_fu": 0.00,
  "sg": "No. 72",
  "formation_enthalpy_0k_kj_per_mol_fu": -262.6
}



Entry 3:
{
  "formula": "Mg5Cd2PtRh2",
  "functional": "GGA-PBE",
  "state": "relaxed",
  "lattice_angstrom": [[11.053, 0.000, 0.000], [0.000, 11.053, 0.000], [0.000, 0.000, 3.100]],
  "species": ["Mg", "Mg", "Mg", "Mg", "Mg", "Mg", "Mg", "Mg", "Mg", "Mg", "Cd", "Cd", "Cd", "Cd", "Pt", "Pt", "Rh", "Rh", "Rh", "Rh"],
  "fractional_positions": [[0.000, 0.500, 0.000], [0.055, 0.195, 0.000], [0.195, 0.945, 0.000], [0.305, 0.445, 0.000], [0.445, 0.695, 0.000], [0.500, 0.000, 0.000], [0.555, 0.305, 0.000], [0.695, 0.555, 0.000], [0.805, 0.055, 0.000], [0.945, 0.805, 0.000], [0.179, 0.679, 0.500], [0.321, 0.179, 0.500], [0.679, 0.821, 0.500], [0.821, 0.321, 0.500], [0.000, 0.000, 0.500], [0.500, 0.500, 0.500], [0.137, 0.363, 0.500], [0.363, 0.863, 0.500], [0.637, 0.137, 0.500], [0.863, 0.637, 0.500]],
  "final_energy_ev_per_atom": -3.432,
  "magmom_total_mub_per_fu": 0.00,
  "sg": "No. 127",
  "formation_enthalpy_0k_kj_per_mol_fu": -364.3
}



Entry 4:
{
  "formula": "BaMg6NbO8",
  "functional": "GGA-PBE",
  "state": "relaxed",
  "lattice_angstrom": [[4.685, 0.000, 0.000], [0.000, 4.685, 0.000], [0.000, 0.000, 9.160]],
  "species": ["Ba", "Mg", "Mg", "Mg", "Mg", "Mg", "Mg", "Nb", "O", "O", "O", "O", "O", "O", "O", "O"],
  "fractional_positions": [[0.000, 0.000, 0.000], [0.000, 0.500, 0.260], [0.000, 0.500, 0.740], [0.500, 0.000, 0.260], [0.500, 0.000, 0.740], [0.500, 0.500, 0.000], [0.500, 0.500, 0.500], [0.000, 0.000, 0.500], [0.000, 0.000, 0.272], [0.000, 0.000, 0.728], [0.000, 0.500, 0.000], [0.000, 0.500, 0.500], [0.500, 0.000, 0.000], [0.500, 0.000, 0.500], [0.500, 0.500, 0.256], [0.500, 0.500, 0.744]],
  "formation_energy_uncorrected_mev_per_atom": -2032,
  "final_energy_ev_per_atom": -5.858,
  "magmom_total_mub_per_fu": 2.43,
  "sg": "No. 123"
}



Entry 5:
{
  "formula": "LiInAu2F",
  "functional": "GGA-PBE",
  "state": "relaxed",
  "lattice_angstrom": [[5.337, 0.000, 0.000], [0.000, 5.337, 0.000], [0.000, 0.000, 4.446]],
  "species": ["Li", "In", "Au", "Au", "F"],
  "fractional_positions": [[0.000, 0.000, 0.000], [0.500, 0.500, 0.500], [0.000, 0.500, 0.500], [0.500, 0.000, 0.500], [0.500, 0.500, 0.000]],
  "formation_energy_uncorrected_mev_per_atom": -538,
  "final_energy_ev_per_atom": -3.153,
  "magmom_total_mub_per_fu": 0.00,
  "sg": "No. 123"
}



Entry 6:
{
  "formula": "IrOs2Au",
  "functional": "GGA-PBE",
  "state": "relaxed",
  "lattice_angstrom": [[1.360, -2.365, 0.000], [1.360, 2.365, 0.000], [0.000, 0.000, 9.741]],
  "species": ["Ir", "Os", "Os", "Au"],
  "fractional_positions": [[0.000, 0.000, 0.000], [0.500, 0.500, 0.238], [0.500, 0.500, 0.762], [0.000, 0.000, 0.500]],
  "final_energy_ev_per_atom": -8.015,
  "magmom_total_mub_per_fu": 0.00,
  "sg": "No. 65",
  "formation_enthalpy_0k_kj_per_mol_fu": 244.9
}



Entry 7:
{
  "formula": "Nb3CdCl",
  "functional": "GGA-PBE",
  "state": "relaxed",
  "lattice_angstrom": [[4.601, 0.000, 0.000], [0.000, 4.601, 0.000], [0.000, 0.000, 4.601]],
  "species": ["Nb", "Nb", "Nb", "Cd", "Cl"],
  "fractional_positions": [[0.000, 0.000, 0.500], [0.000, 0.500, 0.000], [0.500, 0.000, 0.000], [0.500, 0.500, 0.500], [0.000, 0.000, 0.000]],
  "formation_energy_uncorrected_mev_per_atom": 574,
  "final_energy_ev_per_atom": -6.020,
  "magmom_total_mub_per_fu": 0.00,
  "sg": "No. 221"
}



Entry 8:
{
  "formula": "LaTb3Cd4",
  "functional": "GGA-PBE",
  "state": "relaxed",
  "lattice_angstrom": [[5.355, 0.000, 0.000], [0.000, 5.355, 0.000], [0.000, 0.000, 7.679]],
  "species": ["La", "Tb", "Tb", "Tb", "Cd", "Cd", "Cd", "Cd"],
  "fractional_positions": [[0.000, 0.000, 0.000], [0.000, 0.000, 0.500], [0.500, 0.500, 0.000], [0.500, 0.500, 0.500], [0.000, 0.500, 0.262], [0.000, 0.500, 0.738], [0.500, 0.000, 0.262], [0.500, 0.000, 0.738]],
  "final_energy_ev_per_atom": -3.123,
  "magmom_total_mub_per_fu": 0.96,
  "sg": "No. 123",
  "formation_enthalpy_0k_kj_per_mol_fu": -241.4
}



Entry 9:
{
  "formula": "MnTe2RhBr",
  "functional": "GGA-PBE",
  "state": "relaxed",
  "lattice_angstrom": [[5.627, 0.000, 0.000], [0.000, 5.627, 0.000], [0.000, 0.000, 4.553]],
  "species": ["Mn", "Te", "Te", "Rh", "Br"],
  "fractional_positions": [[0.000, 0.000, 0.000], [0.000, 0.500, 0.500], [0.500, 0.000, 0.500], [0.500, 0.500, 0.000], [0.000, 0.000, 0.500]],
  "formation_energy_uncorrected_mev_per_atom": 1264,
  "final_energy_ev_per_atom": -3.631,
  "magmom_total_mub_per_fu": 3.28,
  "sg": "No. 123"
}



Entry 10:
{
  "formula": "PrHfSc2",
  "functional": "GGA-PBE",
  "state": "relaxed",
  "lattice_angstrom": [[3.805, 0.000, 0.000], [0.000, 3.805, 0.000], [0.000, 0.000, 7.334]],
  "species": ["Pr", "Hf", "Sc", "Sc"],
  "fractional_positions": [[0.000, 0.000, 0.000], [0.000, 0.000, 0.500], [0.500, 0.500, 0.288], [0.500, 0.500, 0.712]],
  "final_energy_ev_per_atom": -6.700,
  "magmom_total_mub_per_fu": 0.00,
  "sg": "No. 123",
  "formation_enthalpy_0k_kj_per_mol_fu": 57.6
}



Entry 11:
{
  "formula": "HoSi2",
  "functional": "GGA-PBE",
  "state": "relaxed",
  "lattice_angstrom": [[0.000, 3.748, 3.748], [3.748, 0.000, 3.748], [3.748, 3.748, 0.000]],
  "species": ["Ho", "Ho", "Si", "Si", "Si", "Si"],
  "fractional_positions": [[0.125, 0.125, 0.125], [0.875, 0.875, 0.875], [0.000, 0.500, 0.500], [0.500, 0.000, 0.500], [0.500, 0.500, 0.000], [0.500, 0.500, 0.500]],
  "formation_energy_uncorrected_mev_per_atom": -297,
  "final_energy_ev_per_atom": -5.438,
  "magmom_total_mub_per_fu": 0.00,
  "sg": "No. 227"
}



Entry 12:
{
  "formula": "LiErAgCl5",
  "functional": "GGA-PBE",
  "state": "relaxed",
  "lattice_angstrom": [[3.761, -6.298, 0.000], [3.761, 6.298, 0.000], [-3.697, 0.000, 9.020]],
  "species": ["Li", "Li", "Er", "Er", "Ag", "Ag", "Cl", "Cl", "Cl", "Cl", "Cl", "Cl", "Cl", "Cl", "Cl", "Cl"],
  "fractional_positions": [[0.217, 0.783, 0.750], [0.783, 0.217, 0.250], [0.500, 0.500, 0.000], [0.500, 0.500, 0.500], [0.071, 0.929, 0.250], [0.929, 0.071, 0.750], [0.075, 0.257, 0.446], [0.154, 0.496, 0.858], [0.257, 0.075, 0.946], [0.418, 0.582, 0.250], [0.496, 0.154, 0.358], [0.504, 0.846, 0.642], [0.582, 0.418, 0.750], [0.743, 0.925, 0.054], [0.846, 0.504, 0.142], [0.925, 0.743, 0.554]],
  "formation_energy_uncorrected_mev_per_atom": -1687,
  "final_energy_ev_per_atom": -4.007,
  "magmom_total_mub_per_fu": 0.00,
  "sg": "No. 15"
}



Entry 13:
{
  "formula": "RbNd2AgTe4",
  "functional": "GGA-PBE",
  "state": "relaxed",
  "lattice_angstrom": [[2.292, -7.779, 0.000], [2.292, 7.779, 0.000], [0.000, 0.000, 16.098]],
  "species": ["Rb", "Rb", "Nd", "Nd", "Nd", "Nd", "Ag", "Ag", "Te", "Te", "Te", "Te", "Te", "Te", "Te", "Te"],
  "fractional_positions": [[0.120, 0.880, 0.750], [0.880, 0.120, 0.250], [0.368, 0.632, 0.568], [0.368, 0.632, 0.932], [0.632, 0.368, 0.068], [0.632, 0.368, 0.432], [0.159, 0.841, 0.250], [0.841, 0.159, 0.750], [0.000, 0.000, 0.000], [0.000, 0.000, 0.500], [0.266, 0.734, 0.107], [0.266, 0.734, 0.393], [0.445, 0.555, 0.750], [0.555, 0.445, 0.250], [0.734, 0.266, 0.607], [0.734, 0.266, 0.893]],
  "formation_energy_uncorrected_mev_per_atom": -1181,
  "final_energy_ev_per_atom": -4.421,
  "magmom_total_mub_per_fu": 0.00,
  "sg": "No. 63"
}



Entry 14:
{
  "formula": "Tm2O3",
  "functional": "GGA-PBE",
  "state": "relaxed",
  "lattice_angstrom": [[-5.237, 5.237, 5.237], [5.237, -5.237, 5.237], [5.237, 5.237, -5.237]],
  "species": ["Tm", "Tm", "Tm", "Tm", "Tm", "Tm", "Tm", "Tm", "Tm", "Tm", "Tm", "Tm", "Tm", "Tm", "Tm", "Tm", "O", "O", "O", "O", "O", "O", "O", "O", "O", "O", "O", "O", "O", "O", "O", "O", "O", "O", "O", "O", "O", "O", "O", "O"],
  "fractional_positions": [[0.000, 0.000, 0.000], [0.000, 0.500, 0.500], [0.033, 0.783, 0.250], [0.217, 0.750, 0.967], [0.250, 0.033, 0.783], [0.250, 0.533, 0.283], [0.283, 0.250, 0.533], [0.467, 0.717, 0.750], [0.500, 0.000, 0.500], [0.500, 0.500, 0.000], [0.533, 0.283, 0.250], [0.717, 0.750, 0.467], [0.750, 0.467, 0.717], [0.750, 0.967, 0.217], [0.783, 0.250, 0.033], [0.967, 0.217, 0.750], [0.011, 0.468, 0.739], [0.032, 0.043, 0.271], [0.043, 0.271, 0.032], [0.228, 0.457, 0.489], [0.229, 0.272, 0.761], [0.239, 0.771, 0.728], [0.261, 0.989, 0.532], [0.271, 0.032, 0.043], [0.272, 0.761, 0.229], [0.457, 0.489, 0.228], [0.468, 0.739, 0.011], [0.489, 0.228, 0.457], [0.511, 0.772, 0.543], [0.532, 0.261, 0.989], [0.543, 0.511, 0.772], [0.728, 0.239, 0.771], [0.729, 0.968, 0.957], [0.739, 0.011, 0.468], [0.761, 0.229, 0.272], [0.771, 0.728, 0.239], [0.772, 0.543, 0.511], [0.957, 0.729, 0.968], [0.968, 0.957, 0.729], [0.989, 0.532, 0.261]],
  "formation_energy_uncorrected_mev_per_atom": -3675,
  "final_energy_ev_per_atom": -8.439,
  "magmom_total_mub_per_fu": 0.00,
  "sg": "No. 206"
}



Entry 15:
{
  "formula": "K4U3GeN8",
  "functional": "GGA-PBE",
  "state": "relaxed",
  "lattice_angstrom": [[3.519, 2.032, 6.344], [-3.519, 2.032, 6.344], [0.000, -4.063, 6.344]],
  "species": ["K", "K", "K", "K", "U", "U", "U", "Ge", "N", "N", "N", "N", "N", "N", "N", "N"],
  "fractional_positions": [[0.000, 0.000, 0.000], [0.000, 0.500, 0.500], [0.500, 0.000, 0.500], [0.500, 0.500, 0.000], [0.000, 0.000, 0.500], [0.000, 0.500, 0.000], [0.500, 0.000, 0.000], [0.500, 0.500, 0.500], [0.184, 0.738, 0.738], [0.223, 0.223, 0.223], [0.262, 0.262, 0.816], [0.262, 0.816, 0.262], [0.738, 0.184, 0.738], [0.738, 0.738, 0.184], [0.777, 0.777, 0.777], [0.816, 0.262, 0.262]],
  "formation_energy_uncorrected_mev_per_atom": -733,
  "final_energy_ev_per_atom": -7.575,
  "magmom_total_mub_per_fu": 0.00,
  "sg": "No. 166"
}



Entry 16:
{
  "formula": "K3Li2Au4",
  "functional": "GGA-PBE",
  "state": "relaxed",
  "lattice_angstrom": [[5.837, -2.368, 0.000], [5.837, 2.368, 0.000], [-2.212, 0.000, 8.938]],
  "species": ["K", "K", "K", "Li", "Li", "Au", "Au", "Au", "Au"],
  "fractional_positions": [[0.000, 0.000, 0.000], [0.380, 0.380, 0.293], [0.620, 0.620, 0.707], [0.306, 0.306, 0.641], [0.694, 0.694, 0.359], [0.100, 0.100, 0.430], [0.277, 0.277, 0.919], [0.723, 0.723, 0.081], [0.900, 0.900, 0.570]],
  "final_energy_ev_per_atom": -2.574,
  "magmom_total_mub_per_fu": 0.00,
  "sg": "No. 12",
  "formation_enthalpy_0k_kj_per_mol_fu": -283.3
}



Entry 17:
{
  "formula": "S4O",
  "functional": "GGA-PBE",
  "state": "relaxed",
  "lattice_angstrom": [[3.133, 0.000, 0.000], [0.000, 6.232, 0.000], [-0.453, 0.000, 4.840]],
  "species": ["S", "S", "S", "S", "O"],
  "fractional_positions": [[0.036, 0.000, 0.195], [0.264, 0.500, 0.332], [0.736, 0.500, 0.668], [0.964, 0.000, 0.805], [0.500, 0.500, 0.000]],
  "formation_energy_uncorrected_mev_per_atom": 335,
  "final_energy_ev_per_atom": -3.959,
  "magmom_total_mub_per_fu": 0.00,
  "sg": "No. 10"
}



Entry 18:
{
  "formula": "VFe2B",
  "functional": "GGA-PBE",
  "state": "relaxed",
  "lattice_angstrom": [[-3.148, 3.148, 2.167], [3.148, -3.148, 2.167], [3.148, 3.148, -2.167]],
  "species": ["V", "V", "Fe", "Fe", "Fe", "Fe", "B", "B"],
  "fractional_positions": [[0.000, 0.000, 0.000], [0.750, 0.250, 0.500], [0.221, 0.625, 0.096], [0.375, 0.471, 0.596], [0.529, 0.125, 0.904], [0.875, 0.779, 0.404], [0.250, 0.750, 0.500], [0.500, 0.500, 0.000]],
  "final_energy_ev_per_atom": -8.062,
  "magmom_total_mub_per_fu": 1.12,
  "sg": "No. 122",
  "formation_enthalpy_0k_kj_per_mol_fu": 45.6
}



Entry 19:
{
  "formula": "HfSc2",
  "functional": "GGA-PBE",
  "state": "relaxed",
  "lattice_angstrom": [[-1.603, 1.603, 6.890], [1.603, -1.603, 6.890], [1.603, 1.603, -6.890]],
  "species": ["Hf", "Sc", "Sc"],
  "fractional_positions": [[0.000, 0.000, 0.000], [0.341, 0.341, 0.000], [0.659, 0.659, 0.000]],
  "final_energy_ev_per_atom": -7.494,
  "magmom_total_mub_per_fu": 0.00,
  "sg": "No. 139",
  "formation_enthalpy_0k_kj_per_mol_fu": 12.9
}



Entry 20:
{
  "formula": "CdSi2Tc",
  "functional": "GGA-PBE",
  "state": "relaxed",
  "lattice_angstrom": [[3.217, 0.000, 0.000], [0.000, 3.217, 0.000], [0.000, 0.000, 6.262]],
  "species": ["Cd", "Si", "Si", "Tc"],
  "fractional_positions": [[0.000, 0.000, 0.000], [0.000, 0.000, 0.525], [0.500, 0.500, 0.294], [0.500, 0.500, 0.675]],
  "formation_energy_uncorrected_mev_per_atom": 66,
  "final_energy_ev_per_atom": -5.466,
  "magmom_total_mub_per_fu": 0.00,
  "sg": "No. 99"
}